(1)
Material: TaRe3H
Method: DFT, PBE
State: optimized geometry

Unit cell a=4.022 b=4.022 c=4.022 alpha=90.00 beta=90.00 gamma=90.00
Element x y z (fractional)
Ta1 0.000 0.000 0.000
Re1 0.000 0.500 0.500
Re2 0.500 0.000 0.500
Re3 0.500 0.500 0.000
H1 0.500 0.500 0.500

Computed properties:
Theoretical density in Mg/m³: 18.90
E in eV/cell: -52.08
Spin magnetization in μB/atom: 0.000
SG: Pm-3m, No. 221
Relative energy among the computed polymorphs in eV/atom: 0.000
Fermi-level density of states in states/eV per atom: 0.956

---

(2)
Material: CrC2
Method: DFT, PBE
State: optimized geometry

Unit cell a=4.727 b=4.727 c=2.758 alpha=90.00 beta=90.00 gamma=90.00
Element x y z (fractional)
Cr1 0.000 0.000 0.000
Cr2 0.500 0.500 0.500
C1 0.213 0.213 0.500
C2 0.287 0.713 0.000
C3 0.713 0.287 0.000
C4 0.787 0.787 0.500

Computed properties:
Theoretical density in Mg/m³: 4.10
E in eV/cell: -46.08
Spin magnetization in μB/atom: 0.000
SG: P4_2/mnm, No. 136
Energy relative to the elements in eV per atom: 1.6778
Relative energy among the computed polymorphs in eV/atom: 1.183
Fermi-level density of states in states/eV per atom: 0.733

---

(3)
Material: BPd2Pb
Method: DFT, PBE
State: optimized geometry

Unit cell a=7.280 b=7.280 c=7.280 alpha=26.55 beta=26.55 gamma=26.55
Element x y z (fractional)
B1 0.000 0.000 0.000
Pd1 0.285 0.285 0.285
Pd2 0.715 0.715 0.715
Pb1 0.500 0.500 0.500

Computed properties:
Theoretical density in Mg/m³: 10.53
E in eV/cell: -21.21
Spin magnetization in μB/atom: 0.000
SG: R-3m, No. 166
Energy relative to the elements in eV per atom: -0.1100
Relative energy among the computed polymorphs in eV/atom: 0.000
Fermi-level density of states in states/eV per atom: 0.452

---

(4)
Material: LiAc2GeRh6
Method: DFT, PBE
State: optimized geometry

Unit cell a=6.439 b=6.439 c=6.439 alpha=120.10 beta=119.92 gamma=89.98
Element x y z (fractional)
Li1 0.000 0.000 0.000
Ac1 0.249 0.749 0.500
Ac2 0.751 0.251 0.500
Ge1 0.500 0.500 0.000
Rh1 0.242 0.242 0.000
Rh2 0.244 0.240 0.484
Rh3 0.244 0.760 0.004
Rh4 0.756 0.240 0.996
Rh5 0.756 0.760 0.516
Rh6 0.758 0.758 0.000

Computed properties:
Theoretical density in Mg/m³: 10.13
E in eV/cell: -61.75
Spin magnetization in μB/atom: 0.000
SG: Immm, No. 71
Energy relative to the elements in eV per atom: -0.2897
Fermi-level density of states in states/eV per atom: 1.320

---

(5)
Material: Dy2Ga5Ni5
Method: DFT, PBE
State: optimized geometry

Unit cell a=4.030 b=5.186 c=8.845 alpha=90.00 beta=90.00 gamma=90.00
Element x y z (fractional)
Dy1 0.000 0.000 0.000
Dy2 0.000 0.500 0.500
Ga1 0.500 0.000 0.500
Ga2 0.500 0.251 0.236
Ga3 0.500 0.251 0.764
Ga4 0.500 0.749 0.236
Ga5 0.500 0.749 0.764
Ni1 0.000 0.000 0.335
Ni2 0.000 0.000 0.665
Ni3 0.000 0.500 0.171
Ni4 0.000 0.500 0.829
Ni5 0.500 0.500 0.000

Computed properties:
Theoretical density in Mg/m³: 8.69
E in eV/cell: -59.87
Spin magnetization in μB/atom: 0.000
SG: Pmmm, No. 47
Energy relative to the elements in eV per atom: -0.5517
Relative energy among the computed polymorphs in eV/atom: 0.011
Fermi-level density of states in states/eV per atom: 0.687

---

(6)
Material: LiEuTlCd
Method: DFT, PBE
State: optimized geometry

Unit cell a=5.273 b=5.273 c=5.273 alpha=60.00 beta=60.00 gamma=60.00
Element x y z (fractional)
Li1 0.000 0.000 0.000
Eu1 0.500 0.500 0.500
Tl1 0.750 0.750 0.750
Cd1 0.250 0.250 0.250

Computed properties:
Theoretical density in Mg/m³: 7.62
E in eV/cell: -16.59
Spin magnetization in μB/atom: 1.773
SG: F-43m, No. 216
Energy relative to the elements in eV per atom: -0.2791
Fermi-level density of states in states/eV per atom: 2.638

---

(7)
Material: Hg2SbRh
Method: DFT, PBE
State: optimized geometry

Unit cell a=5.552 b=5.552 c=5.552 alpha=135.77 beta=135.77 gamma=64.34
Element x y z (fractional)
Hg1 0.250 0.750 0.500
Hg2 0.750 0.250 0.500
Sb1 0.000 0.000 0.000
Rh1 0.500 0.500 0.000

Computed properties:
Theoretical density in Mg/m³: 12.65
E in eV/cell: -11.16
Spin magnetization in μB/atom: 0.000
SG: I4/mmm, No. 139
Formation energy from raw total energies in eV per atom: 0.228
Fermi-level density of states in states/eV per atom: 1.021

---

(8)
Material: Nd3CoGe2
Method: DFT, PBE
State: optimized geometry

Unit cell a=11.957 b=4.245 c=11.546 alpha=90.00 beta=90.00 gamma=90.00
Element x y z (fractional)
Nd1 0.055 0.250 0.129
Nd2 0.119 0.750 0.555
Nd3 0.222 0.250 0.799
Nd4 0.278 0.750 0.299
Nd5 0.381 0.250 0.055
Nd6 0.445 0.750 0.629
Nd7 0.555 0.250 0.371
Nd8 0.619 0.750 0.945
Nd9 0.722 0.250 0.701
Nd10 0.778 0.750 0.201
Nd11 0.881 0.250 0.445
Nd12 0.945 0.750 0.871
Co1 0.132 0.250 0.367
Co2 0.368 0.750 0.867
Co3 0.632 0.250 0.133
Co4 0.868 0.750 0.633
Ge1 0.023 0.750 0.316
Ge2 0.196 0.750 0.995
Ge3 0.304 0.250 0.495
Ge4 0.477 0.250 0.816
Ge5 0.523 0.750 0.184
Ge6 0.696 0.750 0.505
Ge7 0.804 0.250 0.005
Ge8 0.977 0.250 0.684

Computed properties:
Theoretical density in Mg/m³: 7.22
E in eV/cell: -138.37
Spin magnetization in μB/atom: 0.000
SG: Pnma, No. 62
Energy relative to the elements in eV per atom: -0.6583
Fermi-level density of states in states/eV per atom: 0.465

---

(9)
Material: CaZnAgGe2
Method: DFT, PBE
State: optimized geometry

Unit cell a=6.277 b=6.277 c=6.277 alpha=139.86 beta=139.86 gamma=58.07
Element x y z (fractional)
Ca1 0.000 0.000 0.000
Zn1 0.750 0.250 0.500
Ag1 0.250 0.750 0.500
Ge1 0.387 0.387 0.000
Ge2 0.613 0.613 0.000

Computed properties:
Theoretical density in Mg/m³: 5.85
E in eV/cell: -16.98
Spin magnetization in μB/atom: 0.000
SG: I-4m2, No. 119
Energy relative to the elements in eV per atom: -0.3229
Fermi-level density of states in states/eV per atom: 0.305

---

(10)
Material: Ca2TaVOs
Method: DFT, PBE
State: optimized geometry

Unit cell a=5.407 b=5.407 c=4.831 alpha=90.00 beta=90.00 gamma=90.00
Element x y z (fractional)
Ca1 0.000 0.500 0.000
Ca2 0.500 0.000 0.000
Ta1 0.000 0.000 0.500
V1 0.500 0.500 0.500
Os1 0.000 0.000 0.000

Computed properties:
Theoretical density in Mg/m³: 5.90
E in eV/cell: -29.69
Spin magnetization in μB/atom: 0.059
SG: P4/mmm, No. 123
Energy relative to the elements in eV per atom: 1.3027
Fermi-level density of states in states/eV per atom: 1.800

---

(11)
Material: YTlGe2
Method: DFT, PBE
State: optimized geometry

Unit cell a=4.644 b=4.644 c=4.188 alpha=90.00 beta=90.00 gamma=90.00
Element x y z (fractional)
Y1 0.000 0.000 0.000
Tl1 0.500 0.500 0.000
Ge1 0.000 0.500 0.500
Ge2 0.500 0.000 0.500

Computed properties:
Theoretical density in Mg/m³: 8.06
E in eV/cell: -19.27
Spin magnetization in μB/atom: 0.000
SG: P4/mmm, No. 123
Energy relative to the elements in eV per atom: -0.3002
Relative energy among the computed polymorphs in eV/atom: 0.000
Fermi-level density of states in states/eV per atom: 0.474

---

(12)
Material: CaRhBr2
Method: DFT, PBE
State: optimized geometry

Unit cell a=8.415 b=8.415 c=8.415 alpha=28.70 beta=28.70 gamma=28.70
Element x y z (fractional)
Ca1 0.000 0.000 0.000
Rh1 0.500 0.500 0.500
Br1 0.399 0.399 0.399
Br2 0.601 0.601 0.601

Computed properties:
Theoretical density in Mg/m³: 4.14
E in eV/cell: -15.01
Spin magnetization in μB/atom: 0.250
SG: R-3m, No. 166
Formation energy from raw total energies in eV per atom: -0.578
Relative energy among the computed polymorphs in eV/atom: 0.241
Fermi-level density of states in states/eV per atom: 0.691